## BaCdAsF (PBE-GGA)

Data for a relaxed structure of BaCdAsF.

Lattice parameters (Å, degrees): 4.429 4.429 9.516 90.00 90.00 90.00
Positions (direct):
1 F 0.000 0.000 0.500
2 F 0.500 0.500 0.500
3 Ba 0.000 0.500 0.656
4 Ba 0.500 0.000 0.344
5 As 0.000 0.500 0.179
6 As 0.500 0.000 0.821
7 Cd 0.500 0.500 0.000
8 Cd 0.000 0.000 0.000

Calculated values
- Energy: -4.194 eV per atom
- Density: 6114 kg/m3


## BaCu2As2Pb (PBE-GGA)

Data for a relaxed structure of BaCu2As2Pb.

Lattice parameters (Å, degrees): 4.283 4.283 8.869 90.00 90.00 120.00
Positions (direct):
1 Cu 0.667 0.333 0.279
2 Cu 0.333 0.667 0.721
3 Ba 0.000 0.000 0.000
4 As 0.333 0.667 0.258
5 As 0.667 0.333 0.742
6 Pb 0.000 0.000 0.500

Calculated values
- Energy: -4.121 eV per atom
- Density: 7325 kg/m3


## Li2TcNi (PBE-GGA)

Data for a relaxed structure of Li2TcNi.

Lattice parameters (Å, degrees): 4.094 4.094 4.094 60.00 60.00 60.00
Positions (direct):
1 Tc 0.500 0.500 0.500
2 Ni 0.250 0.250 0.250
3 Li 0.000 0.000 0.000
4 Li 0.750 0.750 0.750

Calculated values
- Energy: -4.627 eV per atom
- Density: 5838 kg/m3


## ZnIn2Te2S2 (PBE-GGA)

Data for a relaxed structure of ZnIn2Te2S2.

Lattice parameters (Å, degrees): 5.801 5.972 7.197 67.56 66.32 89.97
Positions (direct):
1 S 0.655 0.640 0.240
2 S 0.375 0.882 0.762
3 Te 0.071 0.132 0.276
4 Te 0.871 0.349 0.721
5 In 0.499 0.518 0.005
6 In 0.278 0.752 0.501
7 Zn 0.001 0.977 0.995

Calculated values
- Density: 4915 kg/m3
- Offset from the most stable computed form: 0 meV per atom


## MgZrCuGe (PBE-GGA)

Data for a relaxed structure of MgZrCuGe.

Lattice parameters (Å, degrees): 4.616 4.616 4.616 60.00 60.00 60.00
Positions (direct):
1 Zr 0.250 0.250 0.250
2 Ge 0.000 0.000 0.000
3 Cu 0.750 0.750 0.750
4 Mg 0.500 0.500 0.500

Calculated values
- Density: 6011 kg/m3
- Offset from the most stable computed form: 0 meV per atom


## PmOsW (PBE-GGA)

Data for a relaxed structure of PmOsW.

Lattice parameters (Å, degrees): 4.512 4.512 4.512 60.00 60.00 60.00
Positions (direct):
1 Os 0.250 0.250 0.250
2 W 0.000 0.000 0.000
3 Pm 0.750 0.750 0.750

Calculated values
- Formation energy: 0.833 eV/atom
- Density: 13274 kg/m3


## TmSbPd (PBE-GGA)

Data for a relaxed structure of TmSbPd.

Lattice parameters (Å, degrees): 4.623 4.623 4.623 60.00 60.00 60.00
Positions (direct):
1 Sb 0.750 0.750 0.750
2 Tm 0.250 0.250 0.250
3 Pd 0.000 0.000 0.000

Calculated values
- Energy: -5.703 eV per atom
- Density: 9436 kg/m3


## Dy3ErAs4 (PBE-GGA)

Data for a relaxed structure of Dy3ErAs4.

Lattice parameters (Å, degrees): 7.106 7.106 4.105 90.00 90.00 109.48
Positions (direct):
1 As 0.249 0.751 0.000
2 As 0.752 0.752 0.500
3 As 0.248 0.248 0.500
4 As 0.751 0.249 0.000
5 Dy 0.500 0.500 0.000
6 Dy 0.000 0.500 0.500
7 Dy 0.500 0.000 0.500
8 Er 0.000 0.000 0.000

Calculated values
- Energy: -6.153 eV per atom
- Density: 8110 kg/m3


Look up the density of the fifth one.
6011 kg/m3


Among the records above, which one has the highest density?
PmOsW


Which of these has the highest density?
PmOsW